Entry 1:
This record from the Alexandria database describes a relaxed BaSiHg crystal. The functional is PBE.

Results
- DOS(E_F): 0.556 states/eV per atom
- Total magnetic moment: 0.0 μB per cell
- Crystal system: monoclinic
- Formation energy without anion corrections: -0.380 eV/atom

a b c (Å): 8.225 4.499 4.935
angles (deg): 90.00 89.97 90.00
Sites, in units of the cell vectors:
1 Si 0.185 0.087 0.030
2 Si 0.313 0.587 0.031
3 Ba 0.025 0.587 0.531
4 Ba 0.473 0.087 0.530
5 Hg 0.858 0.088 0.032
6 Hg 0.640 0.588 0.030

Entry 2:
This record from the Alexandria database describes a relaxed SrZr2Cd crystal. The functional is PBE.

Results
- E_form: 1.7 eV per formula unit
- DOS(E_F): 1.367 states/eV per atom
- Total magnetic moment: 0.0 μB per cell
- Crystal system: orthorhombic

a b c (Å): 6.165 6.165 3.077
angles (deg): 90.00 90.00 116.74
Sites, in units of the cell vectors:
1 Zr 0.000 0.000 0.000
2 Zr 0.500 0.500 0.000
3 Sr 0.000 0.500 0.500
4 Cd 0.500 0.000 0.500

Entry 3:
This record from the Alexandria database describes a relaxed Ca4HoS5 crystal. The functional is PBE.

Results
- DOS(E_F): 0.189 states/eV per atom
- Total magnetic moment: 0.0 μB per cell
- Crystal system: tetragonal
- Formation energy without anion corrections: -2.108 eV/atom

a b c (Å): 3.992 3.992 14.462
angles (deg): 97.93 97.93 90.00
Sites, in units of the cell vectors:
1 Ca 0.401 0.401 0.801
2 S 0.903 0.903 0.805
3 Ho 0.000 0.000 0.000
4 S 0.301 0.301 0.601
5 S 0.699 0.699 0.399
6 Ca 0.200 0.200 0.399
7 S 0.097 0.097 0.195
8 Ca 0.599 0.599 0.199
9 S 0.500 0.500 0.000
10 Ca 0.800 0.800 0.601

Entry 4:
This record from the Alexandria database describes a relaxed ZrMnFe2 crystal. The functional is PBE.

Results
- E_form: 1.9 eV per formula unit
- DOS(E_F): 0.860 states/eV per atom
- Total magnetic moment: 13.7 μB per cell
- Crystal system: tetragonal

a b c (Å): 3.657 3.657 9.618
angles (deg): 79.04 79.04 90.00
Sites, in units of the cell vectors:
1 Fe 0.375 0.402 0.750
2 Mn 0.250 0.750 0.500
3 Mn 0.500 0.500 0.000
4 Fe 0.875 0.848 0.750
5 Zr 0.000 0.000 0.000
6 Fe 0.152 0.625 0.250
7 Fe 0.598 0.125 0.250
8 Zr 0.750 0.250 0.500

Entry 5:
This record from the Alexandria database describes a relaxed LaCoCl2 crystal. The functional is PBE.

Results
- DOS(E_F): 0.769 states/eV per atom
- Total magnetic moment: 2.0 μB per cell
- Crystal system: cubic
- Formation energy without anion corrections: -0.547 eV/atom
- ΔE to the lowest computed polymorph: 220 kJ/mol of formula units

a b c (Å): 5.048 5.048 5.048
angles (deg): 60.00 60.00 60.00
Sites, in units of the cell vectors:
1 Cl 0.250 0.250 0.250
2 Co 0.500 0.500 0.500
3 Cl 0.000 0.000 0.000
4 La 0.750 0.750 0.750

Entry 6:
This record from the Alexandria database describes a relaxed FeTc2As crystal. The functional is PBE.

Results
- E_form: 0.6 eV per formula unit
- DOS(E_F): 0.949 states/eV per atom
- Total magnetic moment: 1.4 μB per cell
- Crystal system: trigonal
- ΔE to the lowest computed polymorph: 53 kJ/mol of formula units

a b c (Å): 8.395 8.395 8.395
angles (deg): 19.22 19.22 19.22
Sites, in units of the cell vectors:
1 Tc 0.249 0.249 0.249
2 Tc 0.002 0.002 0.002
3 As 0.496 0.496 0.496
4 Fe 0.753 0.753 0.753

Entry 7:
This record from the Alexandria database describes a relaxed DyPuRu crystal. The functional is PBE.

Results
- E_form: -0.5 eV per formula unit
- DOS(E_F): 2.507 states/eV per atom
- Total magnetic moment: 11.1 μB per cell
- Crystal system: monoclinic
- ΔE to the lowest computed polymorph: 12 kJ/mol of formula units

a b c (Å): 3.387 6.461 6.806
angles (deg): 104.25 90.00 74.80
Sites, in units of the cell vectors:
1 Pu 0.704 0.782 0.083
2 Ru 0.061 0.068 0.388
3 Dy 0.700 0.791 0.581
4 Ru 0.065 0.060 0.908
5 Dy 0.426 0.337 0.716
6 Pu 0.422 0.346 0.213

Entry 8:
This record from the Alexandria database describes a relaxed Tl2In3Bi4 crystal. The functional is PBE.

Results
- E_form: 0.1 eV per formula unit
- DOS(E_F): 0.434 states/eV per atom
- Total magnetic moment: 0.0 μB per cell
- Crystal system: monoclinic

a b c (Å): 5.131 6.384 9.677
angles (deg): 77.37 74.63 66.30
Sites, in units of the cell vectors:
1 Bi 0.334 0.448 0.884
2 In 0.000 0.000 0.000
3 Bi 0.980 0.690 0.351
4 In 0.669 0.224 0.438
5 Bi 0.020 0.310 0.649
6 Bi 0.666 0.552 0.116
7 Tl 0.334 0.113 0.219
8 Tl 0.666 0.887 0.781
9 In 0.331 0.776 0.562

Question: DOS(E_F) of number 1 (BaSiHg)?
Answer: 0.556 states/eV per atom